[1]
This record from Alexandria via LeMat-Bulk describes a geometry-optimized MgZn2Fe structure. The functional is PBE-GGA.

Computed properties:
As for the crystal system: tetragonal. As for the magnetization: 0.62 μB per atom. The calculation puts the total energy at -12.43 eV/cell.

Cell lengths 2.856, 2.856, 7.387 Å; angles 90.00, 90.00, 90.00 degrees
Positions (direct):
1 Mg 0.500 0.500 0.500
2 Zn 0.000 0.000 0.221
3 Zn 0.000 0.000 0.779
4 Fe 0.500 0.500 0.000

[2]
This record from Alexandria via LeMat-Bulk describes a geometry-optimized Mg14ZnFe structure. The functional is PBE-GGA.

Computed properties:
As for the crystal system: orthorhombic. As for the magnetization: 0.14 μB per atom. The calculation puts the total energy at -31.10 eV/cell.

Cell lengths 6.190, 6.190, 10.095 Å; angles 90.00, 90.00, 119.30 degrees
Positions (direct):
1 Zn 0.833 0.167 0.500
2 Mg 0.657 0.836 0.272
3 Mg 0.331 0.167 0.000
4 Mg 0.665 0.335 0.251
5 Mg 0.344 0.155 0.500
6 Mg 0.164 0.343 0.272
7 Mg 0.335 0.665 0.000
8 Mg 0.835 0.165 0.000
9 Mg 0.164 0.343 0.728
10 Mg 0.657 0.836 0.728
11 Mg 0.845 0.656 0.500
12 Mg 0.665 0.335 0.749
13 Fe 0.334 0.666 0.500
14 Mg 0.833 0.669 0.000
15 Mg 0.168 0.832 0.744
16 Mg 0.168 0.832 0.256

[3]
This record from Alexandria via LeMat-Bulk describes a geometry-optimized MgZnFe4 structure. The functional is PBE-GGA.

Computed properties:
As for the crystal system: cubic. As for the magnetization: 1.17 μB per atom. The calculation puts the total energy at -35.96 eV/cell.

Cell lengths 4.795, 4.795, 4.795 Å; angles 60.00, 60.00, 60.00 degrees
Positions (direct):
1 Fe 0.375 0.876 0.375
2 Zn 0.000 0.000 0.000
3 Mg 0.750 0.750 0.750
4 Fe 0.375 0.375 0.375
5 Fe 0.876 0.375 0.375
6 Fe 0.375 0.375 0.876

[4]
This record from Alexandria via LeMat-Bulk describes a geometry-optimized MgZnFe2 structure. The functional is PBE-GGA.

Computed properties:
As for the crystal system: trigonal. As for the magnetization: 1.22 μB per atom. The calculation puts the total energy at -18.98 eV/cell.

Cell lengths 8.749, 8.749, 8.749 Å; angles 18.49, 18.49, 18.49 degrees
Positions (direct):
1 Mg 0.505 0.505 0.505
2 Fe 0.994 0.994 0.994
3 Fe 0.260 0.260 0.260
4 Zn 0.741 0.741 0.741

[5]
This record from Alexandria via LeMat-Bulk describes a geometry-optimized MgZnFe2 structure. The functional is PBE-GGA.

Computed properties:
As for the crystal system: orthorhombic. As for the magnetization: 1.18 μB per atom. The calculation puts the total energy at -19.28 eV/cell.

Cell lengths 5.067, 5.067, 5.067 Å; angles 146.01, 128.49, 63.16 degrees
Positions (direct):
1 Zn 0.765 0.265 0.500
2 Fe 0.015 0.015 0.000
3 Mg 0.494 0.494 0.000
4 Fe 0.226 0.726 0.500

[6]
This record from Alexandria via LeMat-Bulk describes a geometry-optimized MgZn2Fe structure. The functional is PBE-GGA.

Computed properties:
As for the crystal system: orthorhombic. As for the magnetization: 0.53 μB per atom. The calculation puts the total energy at -12.23 eV/cell.

Cell lengths 5.248, 5.248, 5.248 Å; angles 147.64, 129.52, 61.25 degrees
Positions (direct):
1 Mg 0.257 0.757 0.500
2 Zn 0.743 0.243 0.500
3 Zn 0.988 0.988 0.000
4 Fe 0.512 0.512 0.000

- Look up the magnetization of the first one.
  0.62 μB per atom

- Which formula does entry 3 have?
  MgZnFe4